DFT (GGA-PBEsol) results for ErCuSe2 after structural relaxation.

Cell: 4.0061 4.0061 6.2832 Å, 90.00 90.00 120.00°
Fractional coordinates of all 4 atoms:
Se  0.6667  0.3333  0.2372
Se  0.3333  0.6667  0.7492
Cu  0.3333  0.6667  0.1320
Er  0.0000  0.0000  0.5095

size of the total moment	0.000	μB/atom
formation energy from raw total energies	-4.84	eV/f.u.
mass density	7.4	g cm⁻³
calculated volume	21.83	Å³/atom
SG	P3m1 (156)